An optimized crystal structure of YTi3P, computed with PBE-GGA.

Cell: 4.808 4.808 4.808 Å, 90.00 90.00 90.00°
Fractional coordinates of all 5 atoms:
Y1 0.000 0.000 0.000
Ti1 0.000 0.000 0.500
Ti2 0.000 0.500 0.000
Ti3 0.500 0.000 0.000
P1 0.500 0.500 0.500

## Properties
Energy above the lowest structure with this stoichiometry = 1.925 eV per atom
Raw total energy = -5.47 eV per atom
Total moment = 1.95 μB/f.u.
Space group = No. 221
Formation energy from the elements = 1.647 eV/atom
Crystal system = cubic
Calculated density = 3.94 g cm⁻³